Entry 1:
Nb3InH | GGA-PBE | optimized geometry

Properties
Final energy in eV/cell: -73.444
Space group: Cc, No. 9
Total magnetic moment in Bohr magnetons per cell: 0.0

Unit cell a=5.554 b=5.554 c=7.098 alpha=108.64 beta=108.64 gamma=50.77
Fractional coordinates of all 10 atoms:
Nb 0.000 0.000 0.000
Nb 0.000 0.000 0.500
Nb 0.243 0.248 0.372
Nb 0.248 0.243 0.872
Nb 0.459 0.484 0.735
Nb 0.484 0.459 0.235
In 0.737 0.737 0.118
In 0.737 0.737 0.618
H 0.187 0.913 0.275
H 0.913 0.187 0.775


Entry 2:
Al2CuAs | GGA-PBE | optimized geometry

Properties
Calculated formation energy in eV/atom: 0.1622
Final energy in eV/cell: -31.164
Space group: I-42d, No. 122
Total magnetic moment in Bohr magnetons per cell: 0.0

Unit cell a=6.242 b=6.242 c=6.242 alpha=120.26 beta=120.26 gamma=89.56
Fractional coordinates of all 8 atoms:
Al 0.122 0.625 0.997
Al 0.375 0.372 0.497
Al 0.628 0.125 0.003
Al 0.875 0.878 0.503
Cu 0.000 0.000 0.000
Cu 0.750 0.250 0.500
As 0.250 0.750 0.500
As 0.500 0.500 0.000


Entry 3:
HfFe8Mo3 | GGA-PBE | optimized geometry

Properties
Calculated formation energy in eV/atom: -0.0640
Final energy in eV/cell: -110.916
Space group: P3m1, No. 156
Total magnetic moment in Bohr magnetons per cell: 6.4

Unit cell a=4.741 b=4.741 c=7.831 alpha=90.00 beta=90.00 gamma=120.00
Fractional coordinates of all 12 atoms:
Hf 0.000 0.000 0.000
Fe 0.164 0.329 0.684
Fe 0.164 0.836 0.684
Fe 0.333 0.667 0.437
Fe 0.333 0.667 0.935
Fe 0.503 0.007 0.187
Fe 0.503 0.497 0.187
Fe 0.671 0.836 0.684
Fe 0.993 0.497 0.187
Mo 0.000 0.000 0.380
Mo 0.667 0.333 0.495
Mo 0.667 0.333 0.849


> final energy of number 3 (HfFe8Mo3)?

-110.916 eV/cell


> What is the formula in the third record?

HfFe8Mo3


Copy entry 1 word for word.
Nb3InH | GGA-PBE | optimized geometry

Properties
Final energy in eV/cell: -73.444
Space group: Cc, No. 9
Total magnetic moment in Bohr magnetons per cell: 0.0

Unit cell a=5.554 b=5.554 c=7.098 alpha=108.64 beta=108.64 gamma=50.77
Fractional coordinates of all 10 atoms:
Nb 0.000 0.000 0.000
Nb 0.000 0.000 0.500
Nb 0.243 0.248 0.372
Nb 0.248 0.243 0.872
Nb 0.459 0.484 0.735
Nb 0.484 0.459 0.235
In 0.737 0.737 0.118
In 0.737 0.737 0.618
H 0.187 0.913 0.275
H 0.913 0.187 0.775